1.
VASP calculation (PBE) on Na3MnSi after structural relaxation.

Summary:
crystal system = cubic
energy above the most stable polymorph in this dataset = 0.00 kJ/mol of atoms
symmetry = Pm-3m
D(E_F) = 3.78 states/eV/f.u.
E_form (uncorrected) = 805 meV per atom
total energy = -2.905 eV per atom

Cell and atoms, written as CIF:
```
data_Na3MnSi
_chemical_formula_sum 'Na3 Mn1 Si1'
_space_group_name_H-M_alt 'P 1'
_space_group_IT_number 1
_cell_length_a 5.5782
_cell_length_b 5.5782
_cell_length_c 5.5782
_cell_angle_alpha 90.00
_cell_angle_beta 90.00
_cell_angle_gamma 90.00
loop_
_space_group_symop_operation_xyz
'x,y,z'
loop_
_atom_site_label
_atom_site_type_symbol
_atom_site_fract_x
_atom_site_fract_y
_atom_site_fract_z
Mn1 Mn 0.5000 0.5000 0.5000
Na1 Na 0.0000 0.0000 0.5000
Na2 Na 0.0000 0.5000 0.0000
Na3 Na 0.5000 0.0000 0.0000
Si1 Si 0.0000 0.0000 0.0000
```


2.
VASP calculation (PBE) on Hf2ThSe after structural relaxation.

Summary:
crystal system = trigonal
symmetry = R-3m
D(E_F) = 3.71 states/eV/f.u.
E_form (uncorrected) = -72 meV per atom
total energy = -7.774 eV per atom

Cell and atoms, written as CIF:
```
data_Hf2ThSe
_chemical_formula_sum 'Hf2 Th1 Se1'
_space_group_name_H-M_alt 'P 1'
_space_group_IT_number 1
_cell_length_a 3.3290
_cell_length_b 3.3290
_cell_length_c 10.3168
_cell_angle_alpha 80.72
_cell_angle_beta 80.72
_cell_angle_gamma 60.00
loop_
_space_group_symop_operation_xyz
'x,y,z'
loop_
_atom_site_label
_atom_site_type_symbol
_atom_site_fract_x
_atom_site_fract_y
_atom_site_fract_z
Th1 Th 0.0000 0.0000 0.0000
Hf1 Hf 0.8978 0.8978 0.3067
Hf2 Hf 0.1022 0.1022 0.6933
Se1 Se 0.5000 0.5000 0.5000
```


3.
VASP calculation (PBE) on HgPdRu2 after structural relaxation.

Summary:
crystal system = tetragonal
symmetry = I-42d
D(E_F) = 5.97 states/eV/f.u.
total energy = -5.061 eV per atom

Cell and atoms, written as CIF:
```
data_HgPdRu2
_chemical_formula_sum 'Hg2 Pd2 Ru4'
_space_group_name_H-M_alt 'P 1'
_space_group_IT_number 1
_cell_length_a 7.3590
_cell_length_b 7.3590
_cell_length_c 5.8326
_cell_angle_alpha 50.89
_cell_angle_beta 50.89
_cell_angle_gamma 90.00
loop_
_space_group_symop_operation_xyz
'x,y,z'
loop_
_atom_site_label
_atom_site_type_symbol
_atom_site_fract_x
_atom_site_fract_y
_atom_site_fract_z
Ru1 Ru 0.1459 0.6250 0.2500
Ru2 Ru 0.3750 0.3959 0.7500
Ru3 Ru 0.6041 0.1250 0.2500
Ru4 Ru 0.8750 0.8541 0.7500
Hg1 Hg 0.7500 0.2500 0.5000
Hg2 Hg 0.0000 0.0000 0.0000
Pd1 Pd 0.2500 0.7500 0.5000
Pd2 Pd 0.5000 0.5000 0.0000
```


4.
VASP calculation (PBE) on LaSm3Ga2 after structural relaxation.

Summary:
crystal system = orthorhombic
energy above the most stable polymorph in this dataset = 0.00 kJ/mol of atoms
symmetry = Pmc2_1
D(E_F) = 6.58 states/eV/f.u.
total energy = -4.585 eV per atom

Cell and atoms, written as CIF:
```
data_LaSm3Ga2
_chemical_formula_sum 'La2 Sm6 Ga4'
_space_group_name_H-M_alt 'P 1'
_space_group_IT_number 1
_cell_length_a 5.1610
_cell_length_b 6.6912
_cell_length_c 9.7053
_cell_angle_alpha 90.00
_cell_angle_beta 90.00
_cell_angle_gamma 90.00
loop_
_space_group_symop_operation_xyz
'x,y,z'
loop_
_atom_site_label
_atom_site_type_symbol
_atom_site_fract_x
_atom_site_fract_y
_atom_site_fract_z
Sm1 Sm 0.5000 0.6811 0.1680
Sm2 Sm 0.0000 0.8188 0.6756
Sm3 Sm 0.5000 0.1811 0.8320
Sm4 Sm 0.0000 0.4796 0.9450
Sm5 Sm 0.0000 0.3188 0.3244
Sm6 Sm 0.0000 0.9796 0.0550
Ga1 Ga 0.0000 0.7838 0.3495
Ga2 Ga 0.0000 0.2838 0.6505
Ga3 Ga 0.5000 0.7125 0.8536
Ga4 Ga 0.5000 0.2125 0.1464
La1 La 0.5000 0.5242 0.5502
La2 La 0.5000 0.0242 0.4498
```


5.
VASP calculation (PBE) on Rb2HOsCl6 after structural relaxation.

Summary:
crystal system = tetragonal
symmetry = I4/mmm
D(E_F) = 4.89 states/eV/f.u.
total energy = -3.657 eV per atom

Cell and atoms, written as CIF:
```
data_Rb2HOsCl6
_chemical_formula_sum 'Rb2 H1 Os1 Cl6'
_space_group_name_H-M_alt 'P 1'
_space_group_IT_number 1
_cell_length_a 7.8156
_cell_length_b 7.8156
_cell_length_c 7.1566
_cell_angle_alpha 56.90
_cell_angle_beta 56.90
_cell_angle_gamma 90.00
loop_
_space_group_symop_operation_xyz
'x,y,z'
loop_
_atom_site_label
_atom_site_type_symbol
_atom_site_fract_x
_atom_site_fract_y
_atom_site_fract_z
Cl1 Cl 0.3277 0.3277 0.3445
Cl2 Cl 0.2100 0.2100 0.0000
Cl3 Cl 0.2100 0.7900 0.0000
Cl4 Cl 0.7900 0.2100 0.0000
Cl5 Cl 0.7900 0.7900 0.0000
Cl6 Cl 0.6723 0.6723 0.6555
H1 H 0.5000 0.5000 0.0000
Rb1 Rb 0.2500 0.7500 0.5000
Rb2 Rb 0.7500 0.2500 0.5000
Os1 Os 0.0000 0.0000 0.0000
```


6.
VASP calculation (PBE) on K2Sb2Au7 after structural relaxation.

Summary:
crystal system = monoclinic
symmetry = C2/m
D(E_F) = 3.18 states/eV/f.u.
E_form (uncorrected) = -131 meV per atom
total energy = -3.166 eV per atom

Cell and atoms, written as CIF:
```
data_K2Sb2Au7
_chemical_formula_sum 'K2 Sb2 Au7'
_space_group_name_H-M_alt 'P 1'
_space_group_IT_number 1
_cell_length_a 4.7055
_cell_length_b 9.0410
_cell_length_c 9.0410
_cell_angle_alpha 121.07
_cell_angle_beta 90.17
_cell_angle_gamma 90.17
loop_
_space_group_symop_operation_xyz
'x,y,z'
loop_
_atom_site_label
_atom_site_type_symbol
_atom_site_fract_x
_atom_site_fract_y
_atom_site_fract_z
Au1 Au 0.9989 0.5494 0.8866
Au2 Au 0.0011 0.4506 0.1134
Au3 Au 0.0000 0.0000 0.0000
Au4 Au 0.0011 0.1134 0.4506
Au5 Au 0.4977 0.8337 0.8337
Au6 Au 0.5023 0.1663 0.1663
Au7 Au 0.9989 0.8866 0.5494
K1 K 0.5000 0.7863 0.2137
K2 K 0.5000 0.2137 0.7863
Sb1 Sb 0.9957 0.6771 0.6771
Sb2 Sb 0.0043 0.3229 0.3229
```


Please write out number 2 again, unchanged.
VASP calculation (PBE) on Hf2ThSe after structural relaxation.

Summary:
crystal system = trigonal
symmetry = R-3m
D(E_F) = 3.71 states/eV/f.u.
E_form (uncorrected) = -72 meV per atom
total energy = -7.774 eV per atom

Cell and atoms, written as CIF:
```
data_Hf2ThSe
_chemical_formula_sum 'Hf2 Th1 Se1'
_space_group_name_H-M_alt 'P 1'
_space_group_IT_number 1
_cell_length_a 3.3290
_cell_length_b 3.3290
_cell_length_c 10.3168
_cell_angle_alpha 80.72
_cell_angle_beta 80.72
_cell_angle_gamma 60.00
loop_
_space_group_symop_operation_xyz
'x,y,z'
loop_
_atom_site_label
_atom_site_type_symbol
_atom_site_fract_x
_atom_site_fract_y
_atom_site_fract_z
Th1 Th 0.0000 0.0000 0.0000
Hf1 Hf 0.8978 0.8978 0.3067
Hf2 Hf 0.1022 0.1022 0.6933
Se1 Se 0.5000 0.5000 0.5000
```


Which of these has the lowest D(E_F)? K2Sb2Au7


Please write out number 1 again, unchanged.
VASP calculation (PBE) on Na3MnSi after structural relaxation.

Summary:
crystal system = cubic
energy above the most stable polymorph in this dataset = 0.00 kJ/mol of atoms
symmetry = Pm-3m
D(E_F) = 3.78 states/eV/f.u.
E_form (uncorrected) = 805 meV per atom
total energy = -2.905 eV per atom

Cell and atoms, written as CIF:
```
data_Na3MnSi
_chemical_formula_sum 'Na3 Mn1 Si1'
_space_group_name_H-M_alt 'P 1'
_space_group_IT_number 1
_cell_length_a 5.5782
_cell_length_b 5.5782
_cell_length_c 5.5782
_cell_angle_alpha 90.00
_cell_angle_beta 90.00
_cell_angle_gamma 90.00
loop_
_space_group_symop_operation_xyz
'x,y,z'
loop_
_atom_site_label
_atom_site_type_symbol
_atom_site_fract_x
_atom_site_fract_y
_atom_site_fract_z
Mn1 Mn 0.5000 0.5000 0.5000
Na1 Na 0.0000 0.0000 0.5000
Na2 Na 0.0000 0.5000 0.0000
Na3 Na 0.5000 0.0000 0.0000
Si1 Si 0.0000 0.0000 0.0000
```


total energy of number 4 (LaSm3Ga2)? -4.585 eV per atom